# CdH5C6N2O5 | the Open Quantum Materials Database | PBE | optimized geometry
# Energy = -125.53 eV/f.u.
data_CdH5C6N2O5
_chemical_formula_sum 'Cd2 H10 C12 N4 O10'
_space_group_name_H-M_alt 'P -1'
_space_group_IT_number 2
_space_group_name_Hall '-P 1'
_cell_length_a 6.4550
_cell_length_b 7.8884
_cell_length_c 8.2445
_cell_angle_alpha 68.66
_cell_angle_beta 69.69
_cell_angle_gamma 86.97
loop_
_atom_site_label
_atom_site_type_symbol
_atom_site_fract_x
_atom_site_fract_y
_atom_site_fract_z
_atom_site_occupancy
Cd1 Cd 0.1423 0.3139 0.1274 1
H1 H 0.0162 0.4679 0.6809 1
H2 H 0.0698 0.6584 0.5103 1
H3 H 0.2840 0.0456 0.4576 1
H4 H 0.3529 0.8224 0.5632 1
H5 H 0.4767 0.3427 0.6392 1
C1 C 0.1204 0.9017 0.2087 1
C2 C 0.2441 0.9853 0.0052 1
C3 C 0.3489 0.9079 0.8743 1
C4 C 0.3581 0.7156 0.8866 1
C5 C 0.4116 0.2087 0.7448 1
C6 C 0.4226 0.9612 0.4677 1
N1 N 0.2878 0.1721 0.9211 1
N2 N 0.4550 0.0518 0.7115 1
O1 O 0.0413 0.0090 0.2945 1
O2 O 0.0771 0.5963 0.6391 1
O3 O 0.1062 0.7292 0.2891 1
O4 O 0.1720 0.6201 0.9687 1
O5 O 0.4609 0.3426 0.1852 1